La12Er5Pu after structural relaxation, computed with PBE.

Computed properties:
Energy of formation from the pure elements = 0.7 eV/f.u.
Total magnetization = 6.018 μB/f.u.
Electronic total energy = -95.56 eV per cell
DOS(E_F) = 30.790 states/eV/f.u.

a = 10.8583 Å, b = 10.9677 Å, c = 6.3500 Å
α = 106.86°, β = 90.00°, γ = 60.33°
Element x y z (fractional)
La1 0.8343 0.0000 0.5000
La2 0.1657 0.0000 0.5000
La3 0.6745 0.0000 0.0000
La4 0.3255 0.0000 0.0000
La5 0.3305 0.6718 0.0013
La6 0.9976 0.6718 0.0013
La7 0.0024 0.3282 0.9987
La8 0.6695 0.3282 0.9987
La9 0.5018 0.3344 0.5023
La10 0.8362 0.6656 0.4977
La11 0.1638 0.3344 0.5023
La12 0.4982 0.6656 0.4977
Er1 0.5000 0.0000 0.5000
Er2 0.1655 0.6689 0.5042
Er3 0.8345 0.3311 0.4958
Er4 0.6668 0.6663 0.9968
Er5 0.3332 0.3337 0.0032
Pu1 0.0000 0.0000 0.0000